Record 1
InBP2H5NO9 | PBE-GGA | relaxed

Unit cell a=5.3760 b=8.5046 c=8.6491 alpha=86.83 beta=86.18 gamma=80.77
Sites, in units of the cell vectors:
In  0.2192  0.2132  0.3206
In  0.7808  0.7868  0.6794
B  0.3937  0.5695  0.2214
B  0.6063  0.4305  0.7786
P  0.2839  0.8106  0.4304
P  0.2987  0.6875  0.9136
P  0.7013  0.3125  0.0864
P  0.7161  0.1894  0.5696
H  0.0665  0.0842  0.7840
H  0.1184  0.5375  0.3863
H  0.1421  0.1552  0.9525
H  0.3095  0.1907  0.7857
H  0.3360  0.0027  0.8655
H  0.6640  0.9973  0.1345
H  0.6905  0.8093  0.2143
H  0.8579  0.8448  0.0475
H  0.8816  0.4625  0.6137
H  0.9335  0.9158  0.2160
N  0.2135  0.1086  0.8472
N  0.7865  0.8914  0.1528
O  0.0436  0.7738  0.8619
O  0.0541  0.7276  0.4870
O  0.1903  0.9616  0.3284
O  0.2289  0.4706  0.3116
O  0.2516  0.6532  0.0913
O  0.3684  0.5258  0.8318
O  0.4383  0.8456  0.5612
O  0.4626  0.6899  0.3216
O  0.4904  0.2091  0.1154
O  0.5096  0.7909  0.8846
O  0.5374  0.3101  0.6784
O  0.5617  0.1544  0.4388
O  0.6316  0.4742  0.1682
O  0.7484  0.3468  0.9087
O  0.7711  0.5294  0.6884
O  0.8097  0.0384  0.6716
O  0.9459  0.2724  0.5130
O  0.9564  0.2262  0.1381

Output
- size of the total moment (μB/f.u.) = 0.0
- crystal system = triclinic
- DOS at the Fermi energy (states/eV/f.u.) = 0.0
- raw total energy (eV per atom) = -6.3952



Record 2
PaTcSn2 | PBE-GGA | relaxed

Unit cell a=3.3569 b=3.3569 c=7.5567 alpha=90.00 beta=90.00 gamma=90.00
Sites, in units of the cell vectors:
Pa  0.0000  0.0000  0.0000
Tc  0.0000  0.0000  0.5000
Sn  0.5000  0.5000  0.2944
Sn  0.5000  0.5000  0.7056

Output
- size of the total moment (μB/f.u.) = 1.1
- crystal system = tetragonal
- ΔH_f (0 K) (eV per atom) = -0.001
- DOS at the Fermi energy (states/eV/f.u.) = 6.1
- raw total energy (eV per atom) = -6.9675
- E above lowest polymorph (meV/atom) = 236



Record 3
MgZrCr2 | PBE-GGA | relaxed

Unit cell a=5.3751 b=5.3751 c=5.3751 alpha=145.76 beta=129.04 gamma=62.83
Sites, in units of the cell vectors:
Mg  0.0000  0.0000  0.0000
Zr  0.2810  0.7810  0.5000
Cr  0.5548  0.5548  0.0000
Cr  0.7334  0.2334  0.5000

Output
- size of the total moment (μB/f.u.) = 0.3
- crystal system = orthorhombic
- ΔH_f (0 K) (eV per atom) = 0.294
- DOS at the Fermi energy (states/eV/f.u.) = 4.6
- raw total energy (eV per atom) = -7.0536



Record 4
FeTc2As | PBE-GGA | relaxed

Unit cell a=4.6971 b=4.6971 c=4.3986 alpha=107.12 beta=107.12 gamma=36.57
Sites, in units of the cell vectors:
Fe  0.0000  0.0000  0.0000
Tc  0.5160  0.5160  0.5024
Tc  0.7409  0.7409  0.1361
As  0.2637  0.2637  0.6729

Output
- size of the total moment (μB/f.u.) = 1.6
- crystal system = monoclinic
- ΔH_f (0 K) (eV per atom) = 0.041
- DOS at the Fermi energy (states/eV/f.u.) = 4.0
- raw total energy (eV per atom) = -8.4197
- E above lowest polymorph (meV/atom) = 32



Record 5
YReCl2 | PBE-GGA | relaxed

Unit cell a=10.6544 b=10.6544 c=10.6544 alpha=17.73 beta=17.73 gamma=17.73
Sites, in units of the cell vectors:
Y  0.0000  0.0000  0.0000
Re  0.5000  0.5000  0.5000
Cl  0.2726  0.2726  0.2726
Cl  0.7274  0.7274  0.7274

Output
- size of the total moment (μB/f.u.) = 2.8
- crystal system = trigonal
- E_form (uncorrected) (eV per atom) = 0.091
- DOS at the Fermi energy (states/eV/f.u.) = 3.2
- raw total energy (eV per atom) = -5.5600
- E above lowest polymorph (meV/atom) = 570



Record 6
Sr2HfTaSe | PBE-GGA | relaxed

Unit cell a=6.1667 b=6.1667 c=4.8358 alpha=90.00 beta=90.00 gamma=90.00
Sites, in units of the cell vectors:
Sr  0.0000  0.5000  0.0000
Sr  0.5000  0.0000  0.0000
Hf  0.0000  0.0000  0.0000
Ta  0.0000  0.0000  0.5000
Se  0.5000  0.5000  0.5000

Output
- size of the total moment (μB/f.u.) = 0.0
- crystal system = tetragonal
- E_form (uncorrected) (eV per atom) = 0.973
- DOS at the Fermi energy (states/eV/f.u.) = 5.8
- raw total energy (eV per atom) = -4.7575